1.
# Th3Si2GeIr9

Th3Si2GeIr9 after structural relaxation (PBE, Alexandria).

Lattice parameters (Å, degrees): 5.7020 5.7020 10.5258 90.00 90.00 120.00
Last column: nearest neighbours and their distance in Å.
Atoms (fractional coordinates):
Th 0.3333 0.6667 0.5973  6 Ir 2.98
Th 0.6667 0.3333 0.4027  6 Ir 2.98
Th 0.0000 0.0000 0.0000  6 Ir 2.85
Ir 0.8365 0.6730 0.6810  1 Si 2.35, 1 Ge 2.50
Ir 0.1635 0.8365 0.3190  1 Si 2.35, 1 Ge 2.50
Ir 0.8365 0.1635 0.6810  1 Si 2.35, 1 Ge 2.50
Ir 0.3270 0.1635 0.6810  1 Si 2.35, 1 Ge 2.50
Ir 0.0000 0.5000 0.0000  2 Si 2.37
Ir 0.5000 0.0000 0.0000  2 Si 2.37
Ir 0.5000 0.5000 0.0000  2 Si 2.37
Ir 0.1635 0.3270 0.3190  1 Si 2.35, 1 Ge 2.50
Ir 0.6730 0.8365 0.3190  1 Si 2.35, 1 Ge 2.50
Si 0.3333 0.6667 0.1624  6 Ir 2.35-2.37
Si 0.6667 0.3333 0.8376  6 Ir 2.35-2.37
Ge 0.0000 0.0000 0.5000  6 Ir 2.50

Results
Density of states at the Fermi level in states/eV/f.u.: 4.26
Formation energy without anion corrections in eV per atom: -0.519
Total magnetic moment in μB per atom: 0.00

2.
# Tm2Si3GeIr4

Tm2Si3GeIr4 after structural relaxation (PBE, Alexandria).

Lattice parameters (Å, degrees): 4.1270 4.1270 9.9363 90.00 90.00 90.00
Last column: nearest neighbours and their distance in Å.
Atoms (fractional coordinates):
Ir 0.5000 0.5000 0.0000  4 Si 2.43
Ir 0.0000 0.0000 0.0000  4 Si 2.43
Ir 0.5000 0.0000 0.6344  3 Si 2.34-2.46, 2 Ge 2.46
Ir 0.0000 0.5000 0.3656  3 Si 2.34-2.46, 2 Ge 2.46
Si 0.5000 0.0000 0.8701  5 Ir 2.34-2.43
Si 0.0000 0.0000 0.5000  4 Ir 2.46
Si 0.0000 0.5000 0.1299  5 Ir 2.34-2.43
Tm 0.0000 0.5000 0.7489  8 Ir 3.13-3.24, 6 Si 3.16-3.22, 2 Ge 3.22
Tm 0.5000 0.0000 0.2511  8 Ir 3.13-3.24, 6 Si 3.16-3.22, 2 Ge 3.22
Ge 0.5000 0.5000 0.5000  4 Ir 2.46

Results
Density of states at the Fermi level in states/eV/f.u.: 3.78
Formation energy without anion corrections in eV per atom: -0.969
Total magnetic moment in μB per atom: 0.00

3.
# Tm2Si2GeIr5

Tm2Si2GeIr5 after structural relaxation (PBE, Alexandria).

Lattice parameters (Å, degrees): 3.5496 9.5603 9.5603 90.00 90.00 90.00
Last column: nearest neighbours and their distance in Å.
Atoms (fractional coordinates):
Ir 0.5000 0.2905 0.5682  2 Si 2.44
Ir 0.5000 0.5000 0.0000  4 Si 2.44
Ir 0.5000 0.7095 0.4318  2 Si 2.44
Ir 0.5000 0.2095 0.0682  2 Si 2.44
Ir 0.5000 0.0682 0.7905  2 Si 2.44
Ir 0.5000 0.9318 0.2095  2 Si 2.44
Ir 0.5000 0.0000 0.5000  4 Si 2.44
Ir 0.5000 0.7905 0.9318  2 Si 2.44
Ir 0.5000 0.5682 0.7095  2 Si 2.44
Ir 0.5000 0.4318 0.2905  2 Si 2.44
Si 0.0000 0.8760 0.3760  6 Ir 2.44, 1 Tm 2.72
Si 0.0000 0.6240 0.8760  6 Ir 2.44, 1 Tm 2.72
Si 0.0000 0.3760 0.1240  6 Ir 2.44, 1 Tm 2.72
Si 0.0000 0.1240 0.6240  6 Ir 2.44, 1 Tm 2.72
Tm 0.0000 0.3251 0.8251  3 Si 2.72-2.90, 2 Ir 2.96
Tm 0.0000 0.1749 0.3251  3 Si 2.72-2.90, 2 Ir 2.96
Tm 0.0000 0.6749 0.1749  3 Si 2.72-2.90, 2 Ir 2.96
Tm 0.0000 0.8251 0.6749  3 Si 2.72-2.90, 2 Ir 2.96
Ge 0.0000 0.0000 0.0000  8 Ir 2.75
Ge 0.0000 0.5000 0.5000  8 Ir 2.75

Results
Density of states at the Fermi level in states/eV/f.u.: 3.72
Formation energy without anion corrections in eV per atom: -0.819
Total magnetic moment in μB per atom: 0.00

4.
# YSiGeIr2

YSiGeIr2 after structural relaxation (PBE, Alexandria).

Lattice parameters (Å, degrees): 5.0427 5.1387 5.0427 90.00 90.00 90.00
Last column: nearest neighbours and their distance in Å.
Atoms (fractional coordinates):
Y 0.0000 0.0000 0.0000  4 Ir 2.52, 2 Si 2.57
Ir 0.5000 0.0000 0.0000  2 Y 2.52
Ir 0.0000 0.0000 0.5000  2 Y 2.52
Si 0.0000 0.5000 0.0000  2 Y 2.57
Ge 0.5000 0.5000 0.5000  4 Si 3.57, 8 Ir 3.60

Results
Density of states at the Fermi level in states/eV/f.u.: 6.31
Formation energy without anion corrections in eV per atom: 1.714
Total magnetic moment in μB per atom: 0.00